# PaBe2Nb, relaxed, DFT PBE
data_PaBe2Nb
_cell_length_a 6.391
_cell_length_b 6.391
_cell_length_c 6.391
_cell_angle_alpha 90.00
_cell_angle_beta 90.00
_cell_angle_gamma 90.00
_space_group_name_H-M_alt 'F m -3 m'
_space_group_IT_number 225
_space_group_name_Hall '-F 4 2 3'
loop_
_atom_site_label
_atom_site_type_symbol
_atom_site_fract_x
_atom_site_fract_y
_atom_site_fract_z
Pa1 Pa 0.000 0.000 0.000
Be1 Be 0.250 0.250 0.250
Nb1 Nb 0.000 0.000 0.500
# Energy relative to the elements = 27.2 kJ/mol of atoms
# M_tot = 7.19 μB per cell
# DOS at the Fermi energy = 0.999 states/eV/atom
# Crystal system = cubic
# Relative energy among the computed polymorphs = 214 meV/atom

---

# SrP2AuO, relaxed, DFT PBE
data_SrP2AuO
_cell_length_a 4.865
_cell_length_b 4.865
_cell_length_c 4.432
_cell_angle_alpha 90.00
_cell_angle_beta 90.00
_cell_angle_gamma 90.00
_space_group_name_H-M_alt 'P 4/m m m'
_space_group_IT_number 123
_space_group_name_Hall '-P 4 2'
loop_
_atom_site_label
_atom_site_type_symbol
_atom_site_fract_x
_atom_site_fract_y
_atom_site_fract_z
Sr1 Sr 0.000 0.000 0.000
P1 P 0.000 0.500 0.500
Au1 Au 0.500 0.500 0.500
O1 O 0.500 0.500 0.000
# M_tot = 1.25 μB per cell
# ΔE_f (raw) = 22.9 meV per atom
# DOS at the Fermi energy = 0.709 states/eV/atom
# Crystal system = tetragonal
# Relative energy among the computed polymorphs = 0 meV/atom

---

# KBaCN2, relaxed, DFT PBE
data_KBaCN2
_cell_length_a 7.587
_cell_length_b 5.809
_cell_length_c 8.533
_cell_angle_alpha 90.00
_cell_angle_beta 123.81
_cell_angle_gamma 90.00
_space_group_name_H-M_alt 'P 1 2/c 1'
_space_group_IT_number 13
_space_group_name_Hall '-P 2yc'
loop_
_atom_site_label
_atom_site_type_symbol
_atom_site_fract_x
_atom_site_fract_y
_atom_site_fract_z
K1 K 0.000 0.095 0.250
Ba1 Ba 0.500 0.499 0.750
C1 C 0.500 0.000 0.000
N1 N 0.441 0.204 0.470
# M_tot = 0.00 μB per cell
# ΔE_f (raw) = -536.6 meV per atom
# DOS at the Fermi energy = 0.262 states/eV/atom
# Crystal system = monoclinic

---

# NaCaSb2N, relaxed, DFT PBE
data_NaCaSb2N
_cell_length_a 5.913
_cell_length_b 5.913
_cell_length_c 4.375
_cell_angle_alpha 90.00
_cell_angle_beta 90.00
_cell_angle_gamma 90.00
_space_group_name_H-M_alt 'P 4/m m m'
_space_group_IT_number 123
_space_group_name_Hall '-P 4 2'
loop_
_atom_site_label
_atom_site_type_symbol
_atom_site_fract_x
_atom_site_fract_y
_atom_site_fract_z
Na1 Na 0.000 0.000 0.000
Ca1 Ca 0.500 0.500 0.500
Sb1 Sb 0.000 0.500 0.500
N1 N 0.500 0.500 0.000
# M_tot = 0.00 μB per cell
# ΔE_f (raw) = 729.3 meV per atom
# DOS at the Fermi energy = 1.072 states/eV/atom
# Crystal system = tetragonal

---

# Y3OsO6, relaxed, DFT PBE
data_Y3OsO6
_cell_length_a 8.885
_cell_length_b 11.222
_cell_length_c 5.641
_cell_angle_alpha 90.00
_cell_angle_beta 90.00
_cell_angle_gamma 90.00
_space_group_name_H-M_alt 'C m c 21'
_space_group_IT_number 36
_space_group_name_Hall 'C 2c -2'
loop_
_atom_site_label
_atom_site_type_symbol
_atom_site_fract_x
_atom_site_fract_y
_atom_site_fract_z
Y1 Y 0.000 0.098 0.000
Y2 Y 0.199 0.397 0.052
Os1 Os 0.000 0.291 0.570
O1 O 0.000 0.285 0.244
O2 O 0.000 0.442 0.799
O3 O 0.159 0.017 0.278
O4 O 0.161 0.238 0.801
# M_tot = 3.76 μB per cell
# ΔE_f (raw) = -2589.7 meV per atom
# DOS at the Fermi energy = 0.139 states/eV/atom
# Crystal system = orthorhombic

---

# ScCo3Au, relaxed, DFT PBE
data_ScCo3Au
_cell_length_a 4.655
_cell_length_b 4.655
_cell_length_c 4.655
_cell_angle_alpha 90.00
_cell_angle_beta 90.00
_cell_angle_gamma 90.00
_space_group_name_H-M_alt 'P m -3 m'
_space_group_IT_number 221
_space_group_name_Hall '-P 4 2 3'
loop_
_atom_site_label
_atom_site_type_symbol
_atom_site_fract_x
_atom_site_fract_y
_atom_site_fract_z
Sc1 Sc 0.000 0.000 0.000
Co1 Co 0.000 0.500 0.500
Au1 Au 0.500 0.500 0.500
# Energy relative to the elements = 104.5 kJ/mol of atoms
# M_tot = 5.22 μB per cell
# DOS at the Fermi energy = 2.518 states/eV/atom
# Crystal system = cubic
# Relative energy among the computed polymorphs = 0 meV/atom

---

# BaSr2ZnRh, relaxed, DFT PBE
data_BaSr2ZnRh
_cell_length_a 5.814
_cell_length_b 5.814
_cell_length_c 5.979
_cell_angle_alpha 90.00
_cell_angle_beta 90.00
_cell_angle_gamma 90.00
_space_group_name_H-M_alt 'P 4/m m m'
_space_group_IT_number 123
_space_group_name_Hall '-P 4 2'
loop_
_atom_site_label
_atom_site_type_symbol
_atom_site_fract_x
_atom_site_fract_y
_atom_site_fract_z
Ba1 Ba 0.000 0.000 0.000
Sr1 Sr 0.000 0.500 0.500
Zn1 Zn 0.500 0.500 0.000
Rh1 Rh 0.000 0.000 0.500
# Energy relative to the elements = -5.7 kJ/mol of atoms
# M_tot = 0.00 μB per cell
# DOS at the Fermi energy = 0.821 states/eV/atom
# Crystal system = tetragonal
# Relative energy among the computed polymorphs = 22 meV/atom

---

# Tc3HBr, relaxed, DFT PBE
data_Tc3HBr
_cell_length_a 4.023
_cell_length_b 4.023
_cell_length_c 4.023
_cell_angle_alpha 90.00
_cell_angle_beta 90.00
_cell_angle_gamma 90.00
_space_group_name_H-M_alt 'P m -3 m'
_space_group_IT_number 221
_space_group_name_Hall '-P 4 2 3'
loop_
_atom_site_label
_atom_site_type_symbol
_atom_site_fract_x
_atom_site_fract_y
_atom_site_fract_z
Tc1 Tc 0.000 0.000 0.500
H1 H 0.000 0.000 0.000
Br1 Br 0.500 0.500 0.500
# M_tot = 0.00 μB per cell
# DOS at the Fermi energy = 1.223 states/eV/atom
# Crystal system = cubic
# Relative energy among the computed polymorphs = 0 meV/atom

---

Please write out number 7 again, unchanged.
# BaSr2ZnRh, relaxed, DFT PBE
data_BaSr2ZnRh
_cell_length_a 5.814
_cell_length_b 5.814
_cell_length_c 5.979
_cell_angle_alpha 90.00
_cell_angle_beta 90.00
_cell_angle_gamma 90.00
_space_group_name_H-M_alt 'P 4/m m m'
_space_group_IT_number 123
_space_group_name_Hall '-P 4 2'
loop_
_atom_site_label
_atom_site_type_symbol
_atom_site_fract_x
_atom_site_fract_y
_atom_site_fract_z
Ba1 Ba 0.000 0.000 0.000
Sr1 Sr 0.000 0.500 0.500
Zn1 Zn 0.500 0.500 0.000
Rh1 Rh 0.000 0.000 0.500
# Energy relative to the elements = -5.7 kJ/mol of atoms
# M_tot = 0.00 μB per cell
# DOS at the Fermi energy = 0.821 states/eV/atom
# Crystal system = tetragonal
# Relative energy among the computed polymorphs = 22 meV/atom

---

- Which value of DOS at the Fermi energy does entry 4 give?
  1.072 states/eV/atom

---

- Number 1 is which compound?
  PaBe2Nb